## InCuS2 (PBE)

Data for InCuS2 after structural relaxation.

Its energy relative to the elements, uncorrected is -160 kJ/mol of formula units.

It has space group P3m1 (No. 156), with a = 3.9430 Å, b = 3.9430 Å, c = 6.5091 Å, α = 90.00°, β = 90.00° and γ = 120.00°. The asymmetric unit holds In at (0.0000, 0.0000, 0.0000), Cu at (0.6667, 0.3333, 0.4477), S at (0.0000, 0.0000, 0.3743) and S at (0.6667, 0.3333, 0.8170).

=====

## In3CuS (PBE)

Data for In3CuS after structural relaxation.

For the excess energy over the best structure of this formula in the dataset, the calculation gives 2.38 eV per formula unit. Its energy relative to the elements, uncorrected is 264 kJ/mol of formula units.

It has space group Pm-3m (No. 221), with a = 5.359 Å, b = 5.359 Å, c = 5.359 Å, α = 90.00°, β = 90.00° and γ = 90.00°. The asymmetric unit holds In at (0.000, 0.000, 0.500), Cu at (0.500, 0.500, 0.500) and S at (0.000, 0.000, 0.000).

=====

## In2Cu2S (PBE)

Data for In2Cu2S after structural relaxation.

For the excess energy over the best structure of this formula in the dataset, the calculation gives 0.00 eV per formula unit. Its energy relative to the elements, uncorrected is 35 kJ/mol of formula units.

It has space group P4/mbm (No. 127), with a = 6.656 Å, b = 6.656 Å, c = 4.229 Å, α = 90.00°, β = 90.00° and γ = 90.00°. The asymmetric unit holds In at (0.167, 0.333, 0.000), Cu at (0.135, 0.635, 0.500) and S at (0.000, 0.000, 0.500).

=====

## In2CuS (PBE)

Data for In2CuS after structural relaxation.

For the excess energy over the best structure of this formula in the dataset, the calculation gives 0.51 eV per formula unit. Its energy relative to the elements, uncorrected is 51 kJ/mol of formula units.

It has space group R-3m (No. 166, hexagonal axes), with a = 3.6372 Å, b = 3.6372 Å, c = 25.9099 Å, α = 90.00°, β = 90.00° and γ = 120.00°. The asymmetric unit holds In at (0.0000, 0.0000, 0.0967), Cu at (0.0000, 0.0000, 0.0000) and S at (0.0000, 0.0000, 0.5000).

=====

## InCu2S (PBE)

Data for InCu2S after structural relaxation.

For the excess energy over the best structure of this formula in the dataset, the calculation gives 0.00 eV per formula unit. Its energy relative to the elements, uncorrected is 16 kJ/mol of formula units.

It has space group I-42d (No. 122), with a = 5.938 Å, b = 5.938 Å, c = 9.812 Å, α = 90.00°, β = 90.00° and γ = 90.00°. The asymmetric unit holds In at (0.000, 0.000, 0.000), Cu at (0.176, 0.250, 0.625) and S at (0.000, 0.000, 0.500).

=====

## InCuS2 (PBE)

Data for InCuS2 after structural relaxation.

Its energy relative to the elements, uncorrected is -163 kJ/mol of formula units.

It has space group R3m (No. 160, hexagonal axes), with a = 3.9535 Å, b = 3.9535 Å, c = 19.3709 Å, α = 90.00°, β = 90.00° and γ = 120.00°. The asymmetric unit holds In at (0.0000, 0.0000, 0.0000), Cu at (0.0000, 0.0000, 0.5194), S at (0.0000, 0.0000, 0.3939) and S at (0.0000, 0.0000, 0.8746).

=====

## In2CuS4 (PBE)

Data for In2CuS4 after structural relaxation.

For the excess energy over the best structure of this formula in the dataset, the calculation gives 0.00 eV per formula unit. Its energy relative to the elements, uncorrected is -271 kJ/mol of formula units.

It has space group Fd-3m (No. 227, origin choice 2), with a = 10.609 Å, b = 10.609 Å, c = 10.609 Å, α = 90.00°, β = 90.00° and γ = 90.00°. The asymmetric unit holds In at (0.000, 0.000, 0.000), Cu at (0.125, 0.125, 0.625) and S at (0.001, 0.001, 0.249).

=====

## InCu5S4 (PBE)

Data for InCu5S4 after structural relaxation.

Its energy relative to the elements, uncorrected is -181 kJ/mol of formula units.

It has space group Pmmn (No. 59, origin choice 2), with a = 8.008 Å, b = 8.372 Å, c = 5.351 Å, α = 90.00°, β = 90.00° and γ = 90.00°. The asymmetric unit holds In at (0.250, 0.250, 0.225), Cu at (0.072, 0.081, 0.801), Cu at (0.250, 0.750, 0.727), S at (0.004, 0.750, 0.498) and S at (0.250, 0.546, 0.048).

=====

## InCu3S (PBE)

Data for InCu3S after structural relaxation.

Its energy relative to the elements, uncorrected is 125 kJ/mol of formula units.

It has space group Pm-3m (No. 221), with a = 4.486 Å, b = 4.486 Å, c = 4.486 Å, α = 90.00°, β = 90.00° and γ = 90.00°. The asymmetric unit holds In at (0.000, 0.000, 0.000), Cu at (0.000, 0.500, 0.500) and S at (0.500, 0.500, 0.500).

=====

## In4CuSbS8 (PBE)

Data for In4CuSbS8 after structural relaxation.

Its energy relative to the elements, uncorrected is -605 kJ/mol of formula units.

It has space group R3m (No. 160, hexagonal axes), with a = 7.7495 Å, b = 7.7495 Å, c = 18.7686 Å, α = 90.00°, β = 90.00° and γ = 120.00°. The asymmetric unit holds In at (0.0000, 0.0000, 0.0000), In at (0.0162, 0.5081, 0.1249), Cu at (0.0000, 0.0000, 0.2475), Sb at (0.0000, 0.0000, 0.6171), S at (0.0000, 0.0000, 0.3756), S at (0.0000, 0.0000, 0.8643), S at (0.0002, 0.5001, 0.8704) and S at (0.0162, 0.5081, 0.3795).

=====

## Sc2InCuS4 (PBE)

Data for Sc2InCuS4 after structural relaxation.

Its energy relative to the elements, uncorrected is -981 kJ/mol of formula units.

It has space group Cmcm (No. 63), with a = 3.759 Å, b = 13.064 Å, c = 13.291 Å, α = 90.00°, β = 90.00° and γ = 90.00°. The asymmetric unit holds Sc at (0.000, 0.132, 0.064), In at (0.000, 0.388, 0.250), Cu at (0.000, 0.332, 0.750), S at (0.000, 0.066, 0.250), S at (0.000, 0.240, 0.604) and S at (0.000, 0.500, 0.000).

=====

## InCuSeS (PBE)

Data for InCuSeS after structural relaxation.

For the excess energy over the best structure of this formula in the dataset, the calculation gives 0.00 eV per formula unit. Its energy relative to the elements, uncorrected is -177 kJ/mol of formula units.

It has space group I2_12_12_1 (No. 24), with a = 5.710 Å, b = 5.717 Å, c = 11.548 Å, α = 90.00°, β = 90.00° and γ = 90.00°. The asymmetric unit holds In at (0.000, 0.250, 0.127), Cu at (0.000, 0.250, 0.640), Se at (0.250, 0.462, 0.500) and S at (0.226, 0.000, 0.750).